A plane-wave DFT calculation with PBE was carried out for a geometry-optimized Ac5Pr2Rh4 structure.

```
Ac5Pr2Rh4
1.0
4.1939 0.0000 0.0000
2.0956 8.9929 0.0000
2.0925 3.9582 9.0604
Ac Pr Rh
5 2 4
Cartesian
0.0000 0.0000 0.0000
4.1893 9.3880 7.6607
4.1935 9.6372 3.4826
4.1884 3.3139 5.5778
4.1926 3.5631 1.3997
2.1022 6.5103 2.7268
6.2797 6.4409 6.3336
2.0937 3.7546 3.5824
4.1860 6.2763 8.3830
4.1959 6.6748 0.6773
6.2882 9.1965 5.4780
```

Results
offset from the most stable computed form	0.00	eV per formula unit
energy	-5.962	eV/atom
DOS(E_F)	0.696	states/eV per atom